[1]
First-principles (PBE) data for ScSiW4 after structural relaxation, as listed in Alexandria.

Cell and atoms, written as CIF:
```
data_ScSiW4
_chemical_formula_sum 'Sc4 Si4 W16'
_cell_length_a 7.512
_cell_length_b 7.512
_cell_length_c 7.512
_cell_angle_alpha 90.00
_cell_angle_beta 90.00
_cell_angle_gamma 90.00
_space_group_name_H-M_alt 'F -4 3 m'
_space_group_IT_number 216
_space_group_name_Hall 'F -4 2 3'
loop_
_atom_site_label
_atom_site_type_symbol
_atom_site_fract_x
_atom_site_fract_y
_atom_site_fract_z
_atom_site_occupancy
Sc1 Sc 0.000 0.000 0.000 1
Si1 Si 0.250 0.250 0.250 1
W1 W 0.125 0.125 0.625 1
```

## Properties
**Spin magnetization**: 0.0 μB per formula unit
**Energy relative to the elements, uncorrected**: 0.38 eV per atom
**DOS at the Fermi energy**: 0.692 states/eV/atom

***

[2]
First-principles (PBE) data for Sc2SiW after structural relaxation, as listed in Alexandria.

Cell and atoms, written as CIF:
```
data_Sc2SiW
_chemical_formula_sum 'Sc4 Si2 W2'
_cell_length_a 5.912
_cell_length_b 8.332
_cell_length_c 2.898
_cell_angle_alpha 90.00
_cell_angle_beta 90.00
_cell_angle_gamma 90.00
_space_group_name_H-M_alt 'C m m m'
_space_group_IT_number 65
_space_group_name_Hall '-C 2 2'
loop_
_atom_site_label
_atom_site_type_symbol
_atom_site_fract_x
_atom_site_fract_y
_atom_site_fract_z
_atom_site_occupancy
Sc1 Sc 0.250 0.250 0.000 1
Si1 Si 0.000 0.000 0.500 1
W1 W 0.000 0.500 0.500 1
```

## Properties
**E above lowest polymorph**: 0.078 eV per atom
**Spin magnetization**: 0.0 μB per formula unit
**Energy relative to the elements, uncorrected**: -0.07 eV per atom
**DOS at the Fermi energy**: 0.934 states/eV/atom

***

[3]
First-principles (PBE) data for ScSiW2 after structural relaxation, as listed in Alexandria.

Cell and atoms, written as CIF:
```
data_ScSiW2
_chemical_formula_sum 'Sc4 Si4 W8'
_cell_length_a 3.824
_cell_length_b 3.824
_cell_length_c 19.345
_cell_angle_alpha 90.00
_cell_angle_beta 90.00
_cell_angle_gamma 90.00
_space_group_name_H-M_alt 'I -4 2 d'
_space_group_IT_number 122
_space_group_name_Hall 'I -4 2bw'
loop_
_atom_site_label
_atom_site_type_symbol
_atom_site_fract_x
_atom_site_fract_y
_atom_site_fract_z
_atom_site_occupancy
Sc1 Sc 0.000 0.000 0.000 1
Si1 Si 0.000 0.000 0.500 1
W1 W 0.236 0.250 0.625 1
```

## Properties
**E above lowest polymorph**: 0.527 eV per atom
**Spin magnetization**: 0.0 μB per formula unit
**Energy relative to the elements, uncorrected**: 0.41 eV per atom
**DOS at the Fermi energy**: 0.563 states/eV/atom

***

[4]
First-principles (PBE) data for ScSiW2 after structural relaxation, as listed in Alexandria.

Cell and atoms, written as CIF:
```
data_ScSiW2
_chemical_formula_sum 'Sc1 Si1 W2'
_cell_length_a 2.839
_cell_length_b 4.659
_cell_length_c 5.067
_cell_angle_alpha 90.00
_cell_angle_beta 93.66
_cell_angle_gamma 90.00
_space_group_name_H-M_alt 'P 1 2/m 1'
_space_group_IT_number 10
loop_
_space_group_symop_operation_xyz
'x,y,z'
'-x,-y,-z'
'-x,y,-z'
'x,-y,z'
loop_
_atom_site_label
_atom_site_type_symbol
_atom_site_fract_x
_atom_site_fract_y
_atom_site_fract_z
_atom_site_occupancy
Sc1 Sc 0.000 0.000 0.000 1
Si1 Si 0.500 0.000 0.500 1
W1 W 0.347 0.500 0.750 1
```

## Properties
**E above lowest polymorph**: 0.220 eV per atom
**Spin magnetization**: 0.0 μB per formula unit
**Energy relative to the elements, uncorrected**: 0.11 eV per atom
**DOS at the Fermi energy**: 0.939 states/eV/atom

***

[5]
First-principles (PBE) data for ScSiW2 after structural relaxation, as listed in Alexandria.

Cell and atoms, written as CIF:
```
data_ScSiW2
_chemical_formula_sum 'Sc2 Si2 W4'
_cell_length_a 3.299
_cell_length_b 4.631
_cell_length_c 8.663
_cell_angle_alpha 90.00
_cell_angle_beta 90.00
_cell_angle_gamma 90.00
_space_group_name_H-M_alt 'C m m 2'
_space_group_IT_number 35
loop_
_space_group_symop_operation_xyz
'x,y,z'
'-x,-y,z'
'-x,y,z'
'x,-y,z'
'x+1/2,y+1/2,z'
'-x+1/2,-y+1/2,z'
'-x+1/2,y+1/2,z'
'x+1/2,-y+1/2,z'
loop_
_atom_site_label
_atom_site_type_symbol
_atom_site_fract_x
_atom_site_fract_y
_atom_site_fract_z
_atom_site_occupancy
Sc1 Sc 0.000 0.000 0.000 1
Si1 Si 0.000 0.500 0.253 1
W1 W 0.000 0.000 0.479 1
W2 W 0.000 0.500 0.728 1
```

## Properties
**E above lowest polymorph**: 0.138 eV per atom
**Spin magnetization**: 0.0 μB per formula unit
**Energy relative to the elements, uncorrected**: 0.02 eV per atom
**DOS at the Fermi energy**: 0.981 states/eV/atom

***

[6]
First-principles (PBE) data for ScSiW2 after structural relaxation, as listed in Alexandria.

Cell and atoms, written as CIF:
```
data_ScSiW2
_chemical_formula_sum 'Sc2 Si2 W4'
_cell_length_a 3.379
_cell_length_b 4.542
_cell_length_c 8.561
_cell_angle_alpha 90.00
_cell_angle_beta 90.00
_cell_angle_gamma 90.00
_space_group_name_H-M_alt 'C m m m'
_space_group_IT_number 65
_space_group_name_Hall '-C 2 2'
loop_
_atom_site_label
_atom_site_type_symbol
_atom_site_fract_x
_atom_site_fract_y
_atom_site_fract_z
_atom_site_occupancy
Sc1 Sc 0.000 0.000 0.000 1
Si1 Si 0.000 0.000 0.500 1
W1 W 0.000 0.500 0.279 1
```

## Properties
**E above lowest polymorph**: 0.208 eV per atom
**Spin magnetization**: 0.0 μB per formula unit
**Energy relative to the elements, uncorrected**: 0.09 eV per atom
**DOS at the Fermi energy**: 0.772 states/eV/atom

***

[7]
First-principles (PBE) data for Sc2SiW after structural relaxation, as listed in Alexandria.

Cell and atoms, written as CIF:
```
data_Sc2SiW
_chemical_formula_sum 'Sc4 Si2 W2'
_cell_length_a 4.060
_cell_length_b 4.074
_cell_length_c 8.607
_cell_angle_alpha 90.00
_cell_angle_beta 90.00
_cell_angle_gamma 90.00
_space_group_name_H-M_alt 'C m m m'
_space_group_IT_number 65
_space_group_name_Hall '-C 2 2'
loop_
_atom_site_label
_atom_site_type_symbol
_atom_site_fract_x
_atom_site_fract_y
_atom_site_fract_z
_atom_site_occupancy
Sc1 Sc 0.000 0.000 0.235 1
Si1 Si 0.000 0.500 0.000 1
W1 W 0.000 0.500 0.500 1
```

## Properties
**E above lowest polymorph**: 0.038 eV per atom
**Spin magnetization**: 0.0 μB per formula unit
**Energy relative to the elements, uncorrected**: -0.11 eV per atom
**DOS at the Fermi energy**: 0.552 states/eV/atom

***

[8]
First-principles (PBE) data for ScSiW after structural relaxation, as listed in Alexandria.

Cell and atoms, written as CIF:
```
data_ScSiW
_chemical_formula_sum 'Sc4 Si4 W4'
_cell_length_a 6.045
_cell_length_b 6.045
_cell_length_c 6.045
_cell_angle_alpha 90.00
_cell_angle_beta 90.00
_cell_angle_gamma 90.00
_space_group_name_H-M_alt 'F -4 3 m'
_space_group_IT_number 216
_space_group_name_Hall 'F -4 2 3'
loop_
_atom_site_label
_atom_site_type_symbol
_atom_site_fract_x
_atom_site_fract_y
_atom_site_fract_z
_atom_site_occupancy
Sc1 Sc 0.000 0.000 0.000 1
Si1 Si 0.250 0.250 0.250 1
W1 W 0.000 0.000 0.500 1
```

## Properties
**Spin magnetization**: 0.0 μB per formula unit
**Energy relative to the elements, uncorrected**: 0.03 eV per atom
**DOS at the Fermi energy**: 0.956 states/eV/atom

***

[9]
First-principles (PBE) data for ScSiW2 after structural relaxation, as listed in Alexandria.

Cell and atoms, written as CIF:
```
data_ScSiW2
_chemical_formula_sum 'Sc1 Si1 W2'
_cell_length_a 2.778
_cell_length_b 2.778
_cell_length_c 8.491
_cell_angle_alpha 90.00
_cell_angle_beta 90.00
_cell_angle_gamma 90.00
_space_group_name_H-M_alt 'P 4/m m m'
_space_group_IT_number 123
_space_group_name_Hall '-P 4 2'
loop_
_atom_site_label
_atom_site_type_symbol
_atom_site_fract_x
_atom_site_fract_y
_atom_site_fract_z
_atom_site_occupancy
Sc1 Sc 0.000 0.000 0.000 1
Si1 Si 0.000 0.000 0.500 1
W1 W 0.500 0.500 0.279 1
```

## Properties
**E above lowest polymorph**: 0.356 eV per atom
**Spin magnetization**: 0.0 μB per formula unit
**Energy relative to the elements, uncorrected**: 0.24 eV per atom
**DOS at the Fermi energy**: 0.560 states/eV/atom

***

[10]
First-principles (PBE) data for Sc2SiW after structural relaxation, as listed in Alexandria.

Cell and atoms, written as CIF:
```
data_Sc2SiW
_chemical_formula_sum 'Sc4 Si2 W2'
_cell_length_a 10.368
_cell_length_b 2.940
_cell_length_c 5.006
_cell_angle_alpha 90.00
_cell_angle_beta 105.64
_cell_angle_gamma 90.00
_space_group_name_H-M_alt 'C 1 m 1'
_space_group_IT_number 8
loop_
_space_group_symop_operation_xyz
'x,y,z'
'x,-y,z'
'x+1/2,y+1/2,z'
'x+1/2,-y+1/2,z'
loop_
_atom_site_label
_atom_site_type_symbol
_atom_site_fract_x
_atom_site_fract_y
_atom_site_fract_z
_atom_site_occupancy
Sc1 Sc 0.000 0.000 0.000 1
Sc2 Sc 0.208 0.000 0.660 1
Si1 Si 0.253 0.500 0.174 1
W1 W 0.449 0.000 0.459 1
```

## Properties
**E above lowest polymorph**: 0.053 eV per atom
**Spin magnetization**: 0.0 μB per formula unit
**Energy relative to the elements, uncorrected**: -0.10 eV per atom
**DOS at the Fermi energy**: 0.905 states/eV/atom

***

[11]
First-principles (PBE) data for ScSiW2 after structural relaxation, as listed in Alexandria.

Cell and atoms, written as CIF:
```
data_ScSiW2
_chemical_formula_sum 'Sc1 Si1 W2'
_cell_length_a 3.437
_cell_length_b 4.270
_cell_length_c 4.400
_cell_angle_alpha 90.00
_cell_angle_beta 90.00
_cell_angle_gamma 90.00
_space_group_name_H-M_alt 'P m m m'
_space_group_IT_number 47
loop_
_space_group_symop_operation_xyz
'x,y,z'
'-x,-y,-z'
'-x,-y,z'
'x,y,-z'
'x,-y,-z'
'-x,y,z'
'-x,y,-z'
'x,-y,z'
loop_
_atom_site_label
_atom_site_type_symbol
_atom_site_fract_x
_atom_site_fract_y
_atom_site_fract_z
_atom_site_occupancy
Sc1 Sc 0.000 0.000 0.000 1
Si1 Si 0.500 0.500 0.000 1
W1 W 0.000 0.500 0.500 1
W2 W 0.500 0.000 0.500 1
```

## Properties
**E above lowest polymorph**: 0.113 eV per atom
**Spin magnetization**: 0.0 μB per formula unit
**Energy relative to the elements, uncorrected**: 0.00 eV per atom
**DOS at the Fermi energy**: 0.507 states/eV/atom

***

[12]
First-principles (PBE) data for ScSiW after structural relaxation, as listed in Alexandria.

Cell and atoms, written as CIF:
```
data_ScSiW
_chemical_formula_sum 'Sc1 Si1 W1'
_cell_length_a 3.2147
_cell_length_b 3.2147
_cell_length_c 5.9768
_cell_angle_alpha 90.00
_cell_angle_beta 90.00
_cell_angle_gamma 120.00
_space_group_name_H-M_alt 'P 3 m 1'
_space_group_IT_number 156
loop_
_space_group_symop_operation_xyz
'x,y,z'
'-y,x-y,z'
'-x+y,-x,z'
'-y,-x,z'
'-x+y,y,z'
'x,x-y,z'
loop_
_atom_site_label
_atom_site_type_symbol
_atom_site_fract_x
_atom_site_fract_y
_atom_site_fract_z
_atom_site_occupancy
Sc1 Sc 0.0000 0.0000 0.0000 1
Si1 Si 0.6667 0.3333 0.3494 1
W1 W 0.3333 0.6667 0.6267 1
```

## Properties
**Spin magnetization**: 0.0 μB per formula unit
**Energy relative to the elements, uncorrected**: 0.08 eV per atom
**DOS at the Fermi energy**: 0.681 states/eV/atom

***

Q: spin magnetization of number 7 (Sc2SiW)?
A: 0.0 μB per formula unit

***

Q: Which formula does entry 12 have?
A: ScSiW

***

Q: Which value of DOS at the Fermi energy does entry 9 give?
A: 0.560 states/eV/atom

***

Q: Among the records above, which one has the highest DOS at the Fermi energy?
A: number 5